A geometry-optimized RbMnF3 structure, computed with GGA+U.

Structure (CIF):
```
data_RbMnF3
_chemical_formula_sum 'Rb4 Mn4 F12'
_cell_length_a 4.231
_cell_length_b 4.231
_cell_length_c 22.195
_cell_angle_alpha 90.00
_cell_angle_beta 90.00
_cell_angle_gamma 90.00
_space_group_name_H-M_alt 'I -4 m 2'
_space_group_IT_number 119
_space_group_name_Hall 'I -4 -2'
loop_
_atom_site_label
_atom_site_type_symbol
_atom_site_fract_x
_atom_site_fract_y
_atom_site_fract_z
_atom_site_occupancy
Rb1 Rb 0.000 0.000 0.000 1
Rb2 Rb 0.000 0.500 0.250 1
Mn1 Mn 0.000 0.500 0.634 1
F1 F 0.000 0.000 0.321 1
F2 F 0.000 0.248 0.112 1
```

Values from the calculation:
* N(E_F): 0.1194 states/eV/atom
* electronic total energy: -93.69 eV for the cell shown
* magnetic moment: 19.91 μB per cell